In2W2Br: optimized geometry, PBE-GGA.

N(E_F) in states/eV per cell: 7.80
Symmetry: P4/mbm, No. 127
E in eV per atom: -5.7690
Formation energy without anion corrections in eV per atom: 0.842

a b c (Å): 8.9315 8.9315 2.8055
angles (deg): 90.00 90.00 90.00
Atoms (fractional coordinates):
In: 0.1889 0.3111 0.0000
In: 0.3111 0.8111 0.0000
In: 0.6889 0.1889 0.0000
In: 0.8111 0.6889 0.0000
W: 0.0988 0.5988 0.5000
W: 0.4012 0.0988 0.5000
W: 0.5988 0.9012 0.5000
W: 0.9012 0.4012 0.5000
Br: 0.0000 0.0000 0.0000
Br: 0.5000 0.5000 0.0000